(1)
La2MnGe2 | PBE | relaxed

a = 3.6376 Å, b = 3.6376 Å, c = 9.3648 Å
α = 78.80°, β = 78.80°, γ = 90.00°
Closest atoms and distances in Å follow each position.
Fractional positions:
Ge 0.7500 0.2500 0.5000  4 Ge 2.57
Ge 0.2500 0.7500 0.5000  4 Ge 2.57
Mn 0.0000 0.0000 0.0000  8 La 3.07
La 0.4066 0.4066 0.1868  4 Mn 3.07, 4 Ge 3.36, 1 La 3.36
La 0.5934 0.5934 0.8132  4 Mn 3.07, 4 Ge 3.36, 1 La 3.36

Results
Final energy: -5.49 eV/atom
Symmetry: I4/mmm, No. 139
Calculated formation energy: 15 kJ/mol of atoms

***

(2)
La2Mn3Ge4 | PBE | relaxed

a = 5.8434 Å, b = 7.7045 Å, c = 8.3114 Å
α = 90.00°, β = 110.58°, γ = 90.00°
Closest atoms and distances in Å follow each position.
Fractional positions:
Mn 0.4656 0.2500 0.4311  5 Ge 2.51-2.66
La 0.3891 0.0935 0.7782  8 Ge 3.13-3.25, 6 Mn 3.30-3.47
La 0.8891 0.4065 0.7782  8 Ge 3.13-3.25, 6 Mn 3.30-3.47
Ge 0.8103 0.0334 0.6205  5 Mn 2.66-2.96
La 0.1109 0.5935 0.2218  8 Ge 3.13-3.25, 6 Mn 3.30-3.47
Ge 0.6960 0.7500 0.8921  3 Mn 2.51-2.56
Mn 0.0000 0.0000 0.0000  4 Ge 2.56
Ge 0.1960 0.7500 0.8921  3 Mn 2.51-2.56
Mn 0.5000 0.5000 0.0000  4 Ge 2.56
Ge 0.8040 0.2500 0.1079  3 Mn 2.51-2.56
Ge 0.1897 0.9666 0.3795  5 Mn 2.66-2.96
Mn 0.0344 0.7500 0.5689  5 Ge 2.51-2.66
La 0.6109 0.9065 0.2218  8 Ge 3.13-3.25, 6 Mn 3.30-3.47
Mn 0.5344 0.7500 0.5689  5 Ge 2.51-2.66
Ge 0.3103 0.4666 0.6205  5 Mn 2.66-2.96
Mn 0.9656 0.2500 0.4311  5 Ge 2.51-2.66
Ge 0.6897 0.5334 0.3795  5 Mn 2.66-2.96
Ge 0.3040 0.2500 0.1079  3 Mn 2.51-2.56

Results
Final energy: -6.60 eV/atom
Symmetry: Cmce, No. 64
Calculated formation energy: -38 kJ/mol of atoms

***

(3)
LaMnGe2 | PBE | relaxed

a = 5.0607 Å, b = 5.0607 Å, c = 8.3259 Å
α = 72.31°, β = 72.31°, γ = 90.00°
Closest atoms and distances in Å follow each position.
Fractional positions:
Ge 0.3859 0.1250 0.2500  2 Mn 2.27, 2 Ge 2.53
Ge 0.3750 0.6141 0.7500  2 Mn 2.27, 2 Ge 2.53
Mn 0.2500 0.7500 0.5000  4 Ge 2.27
La 0.0000 0.0000 0.0000  8 Ge 3.36-3.44, 4 Mn 3.58
Mn 0.5000 0.5000 0.0000  4 Ge 2.27
Ge 0.3641 0.6250 0.2500  2 Mn 2.27, 2 Ge 2.53
Ge 0.8750 0.6359 0.7500  2 Mn 2.27, 2 Ge 2.53
La 0.7500 0.2500 0.5000  8 Ge 3.36-3.44, 4 Mn 3.58

Results
Final energy: -5.99 eV/atom
Symmetry: I-42d, No. 122
Calculated formation energy: -15 kJ/mol of atoms

***

(4)
La3Mn2Ge9 | PBE | relaxed

a = 6.3531 Å, b = 6.3531 Å, c = 8.2844 Å
α = 90.00°, β = 90.00°, γ = 120.00°
Closest atoms and distances in Å follow each position.
Fractional positions:
La 0.3333 0.6667 0.3355  12 Ge 3.20-3.33
Mn 0.6667 0.3333 0.2050  6 Ge 2.47-2.50
Ge 0.8576 0.7153 0.3620  1 Mn 2.47, 2 Ge 2.71
Ge 0.1424 0.8576 0.6380  1 Mn 2.47, 2 Ge 2.71
Ge 0.8576 0.1424 0.3620  1 Mn 2.47, 2 Ge 2.71
La 0.6667 0.3333 0.6645  12 Ge 3.20-3.33
Ge 0.0000 0.5000 0.0000  2 Mn 2.50
Ge 0.5000 0.0000 0.0000  2 Mn 2.50
Ge 0.7153 0.8576 0.6380  1 Mn 2.47, 2 Ge 2.71
Ge 0.2847 0.1424 0.3620  1 Mn 2.47, 2 Ge 2.71
Ge 0.5000 0.5000 0.0000  2 Mn 2.50
Ge 0.1424 0.2847 0.6380  1 Mn 2.47, 2 Ge 2.71
Mn 0.3333 0.6667 0.7950  6 Ge 2.47-2.50
La 0.0000 0.0000 0.0000  12 Ge 3.18-3.38

Results
Final energy: -5.72 eV/atom
Symmetry: P-3m1, No. 164
Calculated formation energy: -37 kJ/mol of atoms

***

(5)
LaMn2Ge2 | PBE | relaxed

a = 7.7678 Å, b = 7.7678 Å, c = 2.9860 Å
α = 90.00°, β = 90.00°, γ = 90.00°
Closest atoms and distances in Å follow each position.
Fractional positions:
Ge 0.8316 0.3316 0.5000  6 Mn 2.70-2.79, 2 Ge 2.99
La 0.0000 0.0000 0.0000  2 La 2.99, 4 Mn 3.11, 8 Ge 3.25
Mn 0.1167 0.3833 0.0000  1 Mn 2.56, 6 Ge 2.70-2.79
Mn 0.6167 0.1167 0.0000  1 Mn 2.56, 6 Ge 2.70-2.79
Ge 0.3316 0.1684 0.5000  6 Mn 2.70-2.79, 2 Ge 2.99
Ge 0.1684 0.6684 0.5000  6 Mn 2.70-2.79, 2 Ge 2.99
Ge 0.6684 0.8316 0.5000  6 Mn 2.70-2.79, 2 Ge 2.99
Mn 0.3833 0.8833 0.0000  1 Mn 2.56, 6 Ge 2.70-2.79
La 0.5000 0.5000 0.0000  2 La 2.99, 4 Mn 3.11, 8 Ge 3.25
Mn 0.8833 0.6167 0.0000  1 Mn 2.56, 6 Ge 2.70-2.79

Results
Final energy: -6.59 eV/atom
Energy relative to the lowest polymorph listed for this composition: 0.3640 eV per atom
Symmetry: P4/mbm, No. 127
Calculated formation energy: -9 kJ/mol of atoms

***

(6)
LaMn2Ge2 | PBE | relaxed

a = 6.2504 Å, b = 6.2504 Å, c = 6.2504 Å
α = 142.18°, β = 142.18°, γ = 54.56°
Closest atoms and distances in Å follow each position.
Fractional positions:
Ge 0.3735 0.3735 0.0000  4 Mn 2.45
Mn 0.2500 0.7500 0.5000  4 Ge 2.45
La 0.0000 0.0000 0.0000  8 Ge 3.19, 8 Mn 3.44
Mn 0.7500 0.2500 0.5000  4 Ge 2.45
Ge 0.6265 0.6265 0.0000  4 Mn 2.45

Results
Final energy: -6.96 eV/atom
Energy relative to the lowest polymorph listed for this composition: 0.0000 eV per atom
Symmetry: I4/mmm, No. 139
Calculated formation energy: -44 kJ/mol of atoms